Entry from Alexandria: a relaxed TbHoBr2 crystal (GGA-PBE).

Computed properties:
The value obtained for the mass density is 6.9 g cm⁻³. As for the calculated volume: 115.7 Å³ per cell. As for the total energy: -4.123 eV/atom. The space group is R-3m (166). As for the total moment: 0.0 μB/f.u. As for the uncorrected formation energy: -0.984 eV per atom.

Cell lengths 3.6562, 3.6562, 10.2118 Å; angles 79.69, 79.69, 60.00 degrees
Closest atoms and distances in Å follow each position.
Atoms (fractional coordinates):
Tb 0.5000 0.5000 0.5000  6 Br 2.99
Br 0.0961 0.0961 0.7116  1 Ho 2.88, 3 Tb 2.99
Br 0.9039 0.9039 0.2884  1 Ho 2.88, 3 Tb 2.99
Ho 0.0000 0.0000 0.0000  2 Br 2.88